Computed, not measured: crystalline Ce3Zn2Pt3 at its relaxed geometry at the PBE level of DFT.

a = 5.7150 Å, b = 8.3518 Å, c = 8.3518 Å
α = 120.00°, β = 90.00°, γ = 90.00°
Site moments in Bohr magnetons follow the coordinates.
Sites, in units of the cell vectors:
1 Ce 0.7500 0.0000 0.2757  0.37
2 Ce 0.2500 0.2757 0.2757  0.37
3 Ce 0.7500 0.2757 0.0000  0.37
4 Ce 0.2500 0.0000 0.7243  0.37
5 Ce 0.2500 0.7243 0.0000  0.37
6 Ce 0.7500 0.7243 0.7243  0.37
7 Pt 0.2500 0.3871 0.0000  -0.01
8 Pt 0.7500 0.6129 0.0000  -0.01
9 Pt 0.2500 0.0000 0.3871  -0.01
10 Pt 0.2500 0.6129 0.6129  -0.01
11 Pt 0.7500 0.3871 0.3871  -0.01
12 Pt 0.7500 0.0000 0.6129  -0.01
13 Zn 0.5000 0.3333 0.6667  0.00
14 Zn 0.5000 0.6667 0.3333  0.00
15 Zn 0.0000 0.6667 0.3333  0.00
16 Zn 0.0000 0.3333 0.6667  0.00

Values from the calculation:
- ΔE_f: -0.80 eV per atom
- Spin magnetization: 0.16 μB per atom
- Uncorrected energy: -5.607 eV/atom
- DOS(E_F): 1.729 states/eV/atom